[1]
Computed, not measured: a geometry-optimized MnAsSBr2 structure at the GGA-PBE level of DFT.

## Properties
total magnetic moment: 4.909 Bohr magnetons per cell
uncorrected formation energy: 0.707 eV per atom
offset from the most stable computed form: 291.8 meV/atom
crystal system: tetragonal
calculated total energy: -3.552 eV/atom

Cell lengths 5.1551, 5.1551, 4.9641 Å; angles 90.00, 90.00, 90.00 degrees
Element x y z (fractional)
As (0.0000, 0.0000, 0.5000)
Mn (0.5000, 0.5000, 0.5000)
S (0.0000, 0.0000, 0.0000)
Br (0.0000, 0.5000, 0.0000)
Br (0.5000, 0.0000, 0.0000)



[2]
Computed, not measured: a geometry-optimized KHOs2 structure at the GGA-PBE level of DFT.

## Properties
total magnetic moment: 0.001 Bohr magnetons per cell
offset from the most stable computed form: 0.0 meV/atom
crystal system: tetragonal
calculated total energy: -5.578 eV/atom

Cell lengths 5.6817, 5.6817, 5.6880 Å; angles 60.04, 60.04, 90.00 degrees
Element x y z (fractional)
H (0.5000, 0.5000, 0.0000)
H (0.2500, 0.7500, 0.5000)
K (0.0000, 0.0000, 0.0000)
K (0.7500, 0.2500, 0.5000)
Os (0.3751, 0.1250, 0.2500)
Os (0.3749, 0.6250, 0.2500)
Os (0.3750, 0.6249, 0.7500)
Os (0.8750, 0.6251, 0.7500)



[3]
Computed, not measured: a geometry-optimized AgPd2 structure at the GGA-PBE level of DFT.

## Properties
total magnetic moment: 0.000 Bohr magnetons per cell
offset from the most stable computed form: 0.0 meV/atom
crystal system: tetragonal
calculated total energy: -4.427 eV/atom
formation energy: -0.043 eV/f.u.

Cell lengths 2.8140, 2.8140, 6.4275 Å; angles 102.64, 102.64, 90.00 degrees
Element x y z (fractional)
Pd (0.6697, 0.6697, 0.3393)
Pd (0.3303, 0.3303, 0.6607)
Ag (0.0000, 0.0000, 0.0000)



[4]
Computed, not measured: a geometry-optimized TbPmSmCd structure at the GGA-PBE level of DFT.

## Properties
total magnetic moment: 0.000 Bohr magnetons per cell
offset from the most stable computed form: 0.0 meV/atom
crystal system: tetragonal
calculated total energy: -3.904 eV/atom
formation energy: -0.599 eV/f.u.

Cell lengths 3.6539, 3.6539, 9.1001 Å; angles 90.00, 90.00, 90.00 degrees
Element x y z (fractional)
Tb (0.5000, 0.5000, 0.3479)
Pm (0.0000, 0.0000, 0.0746)
Sm (0.5000, 0.5000, 0.7960)
Cd (0.0000, 0.0000, 0.5662)